Entry 1:
The following is a DFT calculation (GGA-PBE) of Be2ReTc after structural relaxation.

Cell and atoms, written as POSCAR:
```
Be2ReTc
1.0
-1.5415 2.0776 3.7535
1.5415 -2.0776 3.7535
1.5415 2.0776 -3.7535
Be Re Tc
2 1 1
Cartesian
0.0000 0.0000 1.8743 Be
0.0000 0.0000 5.6328 Be
0.0000 2.0776 0.0000 Re
1.5415 0.0000 0.0000 Tc
```

Computed properties:
Energy above the lowest structure with this stoichiometry = 1.206 eV per formula unit
Uncorrected energy = -7.476 eV per atom
Spin magnetization = 0.00 μB/cell
Energy relative to the elements = 90 meV/atom

---

Entry 2:
The following is a DFT calculation (GGA-PBE) of Be2ReTc after structural relaxation.

Cell and atoms, written as POSCAR:
```
Be2ReTc
1.0
4.3522 -1.4962 0.0000
4.3522 1.4962 0.0000
-1.8194 0.0000 3.5404
Be Re Tc
2 1 1
Cartesian
0.0000 0.0000 0.0000 Be
5.7876 0.0000 0.7438 Be
0.7586 0.0000 2.6352 Re
3.2086 0.0000 1.6490 Tc
```

Computed properties:
Energy above the lowest structure with this stoichiometry = 0.491 eV per formula unit
Uncorrected energy = -7.655 eV per atom
Spin magnetization = 0.00 μB/cell
Energy relative to the elements = -88 meV/atom

---

Entry 3:
The following is a DFT calculation (GGA-PBE) of Be2ReTc after structural relaxation.

Cell and atoms, written as POSCAR:
```
Be2ReTc
1.0
3.1999 0.0000 0.0000
0.0000 1.5567 4.3847
0.0000 -1.5567 4.3847
Be Re Tc
2 1 1
Cartesian
0.0000 0.0000 0.0000 Be
1.5999 0.0000 1.2177 Be
0.0000 0.0000 6.2998 Re
1.5999 0.0000 3.6813 Tc
```

Computed properties:
Energy above the lowest structure with this stoichiometry = 0.000 eV per formula unit
Uncorrected energy = -7.778 eV per atom
Spin magnetization = 0.00 μB/cell
Energy relative to the elements = -211 meV/atom

---

Entry 4:
The following is a DFT calculation (GGA-PBE) of BeReTcW after structural relaxation.

Cell and atoms, written as POSCAR:
```
BeReTcW
1.0
0.0000 3.0346 3.0346
3.0346 0.0000 3.0346
3.0346 3.0346 0.0000
Be Re Tc W
1 1 1 1
Cartesian
0.0000 0.0000 0.0000 Be
4.5518 4.5518 4.5518 Re
1.5173 1.5173 1.5173 Tc
3.0346 3.0346 3.0346 W
```

Computed properties:
Uncorrected energy = -9.831 eV per atom
Spin magnetization = 0.00 μB/cell
Energy relative to the elements = 43 meV/atom

---

Entry 5:
The following is a DFT calculation (GGA-PBE) of BeReTcW2 after structural relaxation.

Cell and atoms, written as POSCAR:
```
BeReTcW2
1.0
4.7624 0.0000 0.0000
0.0000 4.7624 0.0000
0.0000 0.0000 4.0356
Be Re Tc W
1 1 1 2
Cartesian
0.0000 0.0000 0.0000 Be
0.0000 0.0000 2.0178 Re
2.3812 2.3812 0.0000 Tc
0.0000 2.3812 2.0178 W
2.3812 0.0000 2.0178 W
```

Computed properties:
Uncorrected energy = -8.587 eV per atom
Spin magnetization = 0.00 μB/cell
Energy relative to the elements = 1903 meV/atom

---

Entry 6:
The following is a DFT calculation (GGA-PBE) of Be2ZnReTc after structural relaxation.

Cell and atoms, written as POSCAR:
```
Be2ZnReTc
1.0
4.1794 0.0000 0.0000
0.0000 4.1794 0.0000
0.0000 0.0000 4.7233
Be Zn Re Tc
2 1 1 1
Cartesian
0.0000 2.0897 0.0000 Be
2.0897 0.0000 0.0000 Be
0.0000 0.0000 2.3617 Zn
2.0897 2.0897 2.3617 Re
2.0897 2.0897 0.0000 Tc
```

Computed properties:
Uncorrected energy = -5.076 eV per atom
Spin magnetization = 0.00 μB/cell
Energy relative to the elements = 1233 meV/atom

---

> Look up the spin magnetization of the second one.

0.00 μB/cell

---

> What is the formula in the first record?

Be2ReTc